1.
NaTiGa: optimized geometry, PBE-GGA.

a = 10.062 Å, b = 5.565 Å, c = 5.565 Å
α = 149.98°, β = 130.41°, γ = 49.59°
Atoms (fractional coordinates):
Na 0.822 0.858 0.142
Na 0.178 0.142 0.858
Ga 0.500 0.500 0.500
Ga 0.000 0.000 0.000
Ti 0.641 0.714 0.286
Ti 0.359 0.286 0.714

Values from the calculation:
The density of states at the Fermi level comes out at 3.72 states/eV per cell. The value obtained for the spin magnetization is 0.00 μB per cell. As for the crystal system: monoclinic. Its formation energy is 63 meV per atom.

2.
NaTiGa: optimized geometry, PBE-GGA.

a = 4.818 Å, b = 4.818 Å, c = 6.797 Å
α = 90.00°, β = 90.00°, γ = 90.00°
Atoms (fractional coordinates):
Na 0.000 0.500 0.154
Na 0.500 0.000 0.846
Ga 0.000 0.000 0.500
Ga 0.500 0.500 0.500
Ti 0.000 0.500 0.617
Ti 0.500 0.000 0.383

Values from the calculation:
The density of states at the Fermi level comes out at 2.33 states/eV per cell. The value obtained for the spin magnetization is 0.00 μB per cell. As for the crystal system: tetragonal. Its formation energy is 307 meV per atom.

3.
NaTiGa: optimized geometry, PBE-GGA.

a = 4.551 Å, b = 4.551 Å, c = 4.551 Å
α = 60.00°, β = 60.00°, γ = 60.00°
Atoms (fractional coordinates):
Na 0.250 0.250 0.250
Ga 0.000 0.000 0.000
Ti 0.750 0.750 0.750

Values from the calculation:
The density of states at the Fermi level comes out at 0.47 states/eV per cell. The value obtained for the spin magnetization is 0.00 μB per cell. As for the crystal system: cubic. Its formation energy is 478 meV per atom.

Q: Number 1 is which compound?
A: NaTiGa

Please write out number 2 again, unchanged.
NaTiGa: optimized geometry, PBE-GGA.

a = 4.818 Å, b = 4.818 Å, c = 6.797 Å
α = 90.00°, β = 90.00°, γ = 90.00°
Atoms (fractional coordinates):
Na 0.000 0.500 0.154
Na 0.500 0.000 0.846
Ga 0.000 0.000 0.500
Ga 0.500 0.500 0.500
Ti 0.000 0.500 0.617
Ti 0.500 0.000 0.383

Values from the calculation:
The density of states at the Fermi level comes out at 2.33 states/eV per cell. The value obtained for the spin magnetization is 0.00 μB per cell. As for the crystal system: tetragonal. Its formation energy is 307 meV per atom.

Please write out number 3 again, unchanged.
NaTiGa: optimized geometry, PBE-GGA.

a = 4.551 Å, b = 4.551 Å, c = 4.551 Å
α = 60.00°, β = 60.00°, γ = 60.00°
Atoms (fractional coordinates):
Na 0.250 0.250 0.250
Ga 0.000 0.000 0.000
Ti 0.750 0.750 0.750

Values from the calculation:
The density of states at the Fermi level comes out at 0.47 states/eV per cell. The value obtained for the spin magnetization is 0.00 μB per cell. As for the crystal system: cubic. Its formation energy is 478 meV per atom.